Crystalline Mg2CdCuH at its relaxed geometry, computed with PBE.

Final energy ... -11.67 eV for the cell shown
D(E_F) ... 0.351 states/eV per atom

Unit cell a=4.7771 b=4.7771 c=3.3800 alpha=90.00 beta=90.00 gamma=90.00
Atoms (fractional coordinates):
H (0.0000, 0.0000, 0.0000)
Mg (0.0000, 0.5000, 0.0000)
Mg (0.5000, 0.0000, 0.0000)
Cu (0.0000, 0.0000, 0.5000)
Cd (0.5000, 0.5000, 0.5000)